[1]
First-principles (GGA-PBE) data for Nd2AgSb4Pd after structural relaxation, as listed in OQMD via LeMat-Bulk.

The calculation puts the energy at -5.004 eV per atom. For the magnetization, the calculation gives 0.00 μB/f.u. As for the space group: P-4m2, No. 115.

Lattice parameters (Å, degrees): 4.425 4.425 10.299 90.00 90.00 90.00
Element x y z (fractional)
Nd 0.000 0.500 0.245
Nd 0.500 0.000 0.755
Ag 0.000 0.000 0.500
Sb 0.000 0.000 0.000
Sb 0.000 0.500 0.668
Sb 0.500 0.000 0.332
Sb 0.500 0.500 0.000
Pd 0.500 0.500 0.500

---

[2]
First-principles (GGA-PBE) data for AgTePO after structural relaxation, as listed in OQMD via LeMat-Bulk.

As for the space group: P4/nmm, No. 129. As for the distance to the lowest polymorph of the same formula: 171 meV per atom.

Lattice parameters (Å, degrees): 5.459 5.459 4.688 90.00 90.00 90.00
Element x y z (fractional)
Ag 0.250 0.250 0.004
Ag 0.750 0.750 0.996
Te 0.250 0.750 0.500
Te 0.750 0.250 0.500
P 0.250 0.250 0.504
P 0.750 0.750 0.496
O 0.250 0.750 0.000
O 0.750 0.250 0.000

---

[3]
First-principles (GGA-PBE) data for AuI after structural relaxation, as listed in OQMD via LeMat-Bulk.

The calculation puts the energy at -2.471 eV per atom. As for the space group: Cmce, No. 64.

Lattice parameters (Å, degrees): 4.621 4.621 14.273 90.00 90.00 82.05
Element x y z (fractional)
Au 0.001 0.499 0.250
Au 0.499 0.001 0.750
Au 0.501 0.999 0.250
Au 0.999 0.501 0.750
I 0.242 0.758 0.888
I 0.258 0.742 0.388
I 0.742 0.258 0.612
I 0.758 0.242 0.112

---

[4]
First-principles (GGA-PBE) data for PrTlGeTe3 after structural relaxation, as listed in OQMD via LeMat-Bulk.

The calculation puts the energy at -4.169 eV per atom. For the magnetization, the calculation gives 0.00 μB/f.u. As for the space group: Cmcm, No. 63.

Lattice parameters (Å, degrees): 7.889 7.889 12.084 90.00 90.00 144.92
Element x y z (fractional)
Pr 0.000 0.000 0.000
Pr 0.000 0.000 0.500
Tl 0.248 0.752 0.750
Tl 0.752 0.248 0.250
Ge 0.468 0.532 0.250
Ge 0.532 0.468 0.750
Te 0.080 0.920 0.250
Te 0.360 0.640 0.057
Te 0.360 0.640 0.443
Te 0.640 0.360 0.557
Te 0.640 0.360 0.943
Te 0.920 0.080 0.750

---

[5]
First-principles (GGA-PBE) data for Er2TmAl3FeCu2 after structural relaxation, as listed in OQMD via LeMat-Bulk.

The calculation puts the energy at -4.895 eV per atom. For the magnetization, the calculation gives 0.52 μB/f.u. As for the space group: Amm2, No. 38.

Lattice parameters (Å, degrees): 4.070 6.838 6.838 119.98 90.00 90.00
Element x y z (fractional)
Er 0.000 0.205 0.795
Er 0.000 0.795 0.205
Tm 0.000 0.385 0.385
Al 0.500 0.024 0.024
Al 0.500 0.565 0.794
Al 0.500 0.794 0.565
Fe 0.000 0.793 0.793
Cu 0.500 0.129 0.461
Cu 0.500 0.461 0.129

---

[6]
First-principles (GGA-PBE) data for NaLuCoS3 after structural relaxation, as listed in OQMD via LeMat-Bulk.

For the magnetization, the calculation gives 2.92 μB/f.u. As for the space group: Pnma, No. 62. As for the distance to the lowest polymorph of the same formula: 41 meV per atom.

Lattice parameters (Å, degrees): 10.211 3.790 12.913 90.00 90.00 90.00
Element x y z (fractional)
Na 0.219 0.250 0.000
Na 0.281 0.750 0.500
Na 0.719 0.250 0.500
Na 0.781 0.750 0.000
Lu 0.017 0.750 0.258
Lu 0.483 0.250 0.758
Lu 0.517 0.750 0.242
Lu 0.983 0.250 0.742
Co 0.233 0.750 0.779
Co 0.267 0.250 0.279
Co 0.733 0.750 0.721
Co 0.767 0.250 0.221
S 0.051 0.750 0.877
S 0.095 0.250 0.387
S 0.235 0.250 0.677
S 0.265 0.750 0.177
S 0.405 0.750 0.887
S 0.449 0.250 0.377
S 0.551 0.750 0.623
S 0.595 0.250 0.113
S 0.735 0.250 0.823
S 0.765 0.750 0.323
S 0.905 0.750 0.613
S 0.949 0.250 0.123

---

[7]
First-principles (GGA-PBE) data for LiYFePb after structural relaxation, as listed in OQMD via LeMat-Bulk.

For the magnetization, the calculation gives 1.96 μB/f.u. As for the space group: F-43m, No. 216. As for the distance to the lowest polymorph of the same formula: 0 meV per atom.

Lattice parameters (Å, degrees): 4.760 4.760 4.760 60.00 60.00 60.00
Element x y z (fractional)
Li 0.000 0.000 0.000
Y 0.750 0.750 0.750
Fe 0.500 0.500 0.500
Pb 0.250 0.250 0.250

---

[8]
First-principles (GGA-PBE) data for TaTcPd after structural relaxation, as listed in OQMD via LeMat-Bulk.

The value obtained for the formation energy is 0.426 eV/atom. For the magnetization, the calculation gives 0.01 μB/f.u. As for the space group: F-43m, No. 216. As for the distance to the lowest polymorph of the same formula: 0 meV per atom.

Lattice parameters (Å, degrees): 4.288 4.288 4.288 60.00 60.00 60.00
Element x y z (fractional)
Ta 0.000 0.000 0.000
Tc 0.250 0.250 0.250
Pd 0.750 0.750 0.750

---

[9]
First-principles (GGA-PBE) data for ErAlTe3Pb after structural relaxation, as listed in OQMD via LeMat-Bulk.

The calculation puts the energy at -4.126 eV per atom. For the magnetization, the calculation gives 0.01 μB/f.u. As for the space group: Cmcm, No. 63.

Lattice parameters (Å, degrees): 7.715 7.715 10.992 90.00 90.00 146.87
Element x y z (fractional)
Er 0.000 0.000 0.000
Er 0.000 0.000 0.500
Al 0.471 0.529 0.750
Al 0.529 0.471 0.250
Te 0.094 0.906 0.750
Te 0.357 0.643 0.546
Te 0.357 0.643 0.954
Te 0.643 0.357 0.046
Te 0.643 0.357 0.454
Te 0.906 0.094 0.250
Pb 0.213 0.787 0.250
Pb 0.787 0.213 0.750

---

[10]
First-principles (GGA-PBE) data for ZnCuAgGe after structural relaxation, as listed in OQMD via LeMat-Bulk.

The calculation puts the energy at -2.953 eV per atom. As for the space group: F-43m, No. 216.

Lattice parameters (Å, degrees): 4.490 4.490 4.490 60.00 60.00 60.00
Element x y z (fractional)
Zn 0.000 0.000 0.000
Cu 0.750 0.750 0.750
Ag 0.250 0.250 0.250
Ge 0.500 0.500 0.500

---

[11]
First-principles (GGA-PBE) data for Fe2HgPd after structural relaxation, as listed in OQMD via LeMat-Bulk.

The value obtained for the formation energy is 0.217 eV/atom. For the magnetization, the calculation gives 5.59 μB/f.u. As for the space group: F-43m, No. 216.

Lattice parameters (Å, degrees): 4.409 4.409 4.409 60.00 60.00 60.00
Element x y z (fractional)
Fe 0.000 0.000 0.000
Fe 0.250 0.250 0.250
Hg 0.750 0.750 0.750
Pd 0.500 0.500 0.500

---

[12]
First-principles (GGA-PBE) data for PrZrPO after structural relaxation, as listed in OQMD via LeMat-Bulk.

For the magnetization, the calculation gives 0.01 μB/f.u. As for the space group: P4/nmm, No. 129. As for the distance to the lowest polymorph of the same formula: 626 meV per atom.

Lattice parameters (Å, degrees): 4.227 4.227 8.250 90.00 90.00 90.00
Element x y z (fractional)
Pr 0.250 0.750 0.000
Pr 0.750 0.250 0.000
Zr 0.250 0.250 0.407
Zr 0.750 0.750 0.593
P 0.250 0.250 0.754
P 0.750 0.750 0.246
O 0.250 0.750 0.500
O 0.750 0.250 0.500

---

Question: What is the formula in the fourth record?
Answer: PrTlGeTe3